1.
DFT (PBE-GGA) results for a relaxed La4InRh crystal.

Geometry as POSCAR:
```
La4InRh
1.0
8.766 0.000 5.061
2.922 8.265 5.061
0.000 0.000 10.122
La In Rh
16 4 4
Cartesian
6.511 4.604 15.184 La
9.482 6.705 10.123 La
4.697 3.321 12.110 La
8.139 3.321 10.122 La
7.663 1.560 13.273 La
7.639 7.793 17.137 La
4.697 3.321 8.135 La
9.894 4.604 13.231 La
7.663 1.560 6.972 La
5.844 6.567 10.122 La
9.894 4.604 17.137 La
4.025 6.705 6.972 La
2.207 1.560 10.122 La
11.021 7.793 15.184 La
4.025 6.705 13.273 La
7.639 7.793 13.231 La
4.793 1.405 5.061 In
1.986 1.405 6.682 In
2.922 4.051 5.061 In
1.986 1.405 3.441 In
7.119 5.034 7.915 Rh
3.296 5.034 10.123 Rh
5.844 1.429 10.123 Rh
7.119 5.034 12.330 Rh
```

Summary:
Energy above the most stable polymorph in this dataset, meV per atom: 0
DOS(E_F), states/eV/f.u.: 6.70
Volume, A^3/atom: 30.6
Calculated density, g/cm³: 7.00
Symmetry: F-43m, No. 216

***

2.
DFT (PBE-GGA) results for a relaxed NdEr2TmIn4 crystal.

Geometry as POSCAR:
```
NdEr2TmIn4
1.0
5.321 0.000 0.000
2.660 4.608 0.000
2.660 1.536 8.731
In Tm Er Nd
4 1 2 1
Cartesian
5.321 3.072 1.145 In
2.660 1.536 5.410 In
7.981 4.608 3.321 In
5.321 3.072 7.585 In
5.321 3.072 4.365 Tm
7.981 4.608 6.529 Er
2.660 1.536 2.201 Er
0.000 0.000 0.000 Nd
```

Summary:
DOS(E_F), states/eV/f.u.: 4.26
Volume, A^3/atom: 26.8
Calculated density, g/cm³: 8.59
Symmetry: R-3m, No. 166
Electronic total energy, eV/atom: -4.110

***

Please write out number 2 again, unchanged.
DFT (PBE-GGA) results for a relaxed NdEr2TmIn4 crystal.

Geometry as POSCAR:
```
NdEr2TmIn4
1.0
5.321 0.000 0.000
2.660 4.608 0.000
2.660 1.536 8.731
In Tm Er Nd
4 1 2 1
Cartesian
5.321 3.072 1.145 In
2.660 1.536 5.410 In
7.981 4.608 3.321 In
5.321 3.072 7.585 In
5.321 3.072 4.365 Tm
7.981 4.608 6.529 Er
2.660 1.536 2.201 Er
0.000 0.000 0.000 Nd
```

Summary:
DOS(E_F), states/eV/f.u.: 4.26
Volume, A^3/atom: 26.8
Calculated density, g/cm³: 8.59
Symmetry: R-3m, No. 166
Electronic total energy, eV/atom: -4.110

***

Question: Look up the volume of the second one.
Answer: 26.8 A^3/atom

***

Question: What is the DOS(E_F) in the second record?
Answer: 4.26 states/eV/f.u.

***

Question: Which formula does entry 1 have?
Answer: La4InRh